Arrangement w

Entry from Alexandria: a geometry-optimized PtSe2Br structure (PBE).

Cell lengths 3.0202, 3.0202, 10.8971 Å; angles 90.00, 90.00, 90.00 degrees
Last column: nearest neighbours and their distance in Å.
Fractional positions:
Pt 0.0000 0.0000 0.0000  8 Se 2.76, 4 Pt 3.02
Se 0.5000 0.5000 0.1600  4 Pt 2.76, 4 Se 3.02
Se 0.5000 0.5000 0.8400  4 Pt 2.76, 4 Se 3.02
Br 0.0000 0.0000 0.5000  4 Br 3.02

Computed properties:
Its crystal system is tetragonal. The value obtained for the size of the total moment is 0.000 μB per atom. As for the density of states at the Fermi level: 1.151 states/eV per atom.

Arrangement x

Entry from Alexandria: a geometry-optimized PtSe2Br structure (PBE).

Cell lengths 3.8346, 3.8346, 21.3645 Å; angles 90.00, 90.00, 120.00 degrees
Last column: nearest neighbours and their distance in Å.
Fractional positions:
Pt 0.0000 0.0000 0.0000  6 Se 2.54
Pt 0.3333 0.6667 0.6667  6 Se 2.54
Pt 0.6667 0.3333 0.3333  6 Se 2.54
Se 0.0000 0.0000 0.2747  3 Pt 2.54
Se 0.0000 0.0000 0.7253  3 Pt 2.54
Se 0.3333 0.6667 0.3919  3 Pt 2.54
Se 0.3333 0.6667 0.9414  3 Pt 2.54
Se 0.6667 0.3333 0.0586  3 Pt 2.54
Se 0.6667 0.3333 0.6081  3 Pt 2.54
Br 0.0000 0.0000 0.5000  6 Se 3.20
Br 0.3333 0.6667 0.1667  6 Se 3.20
Br 0.6667 0.3333 0.8333  6 Se 3.20

Computed properties:
Its crystal system is trigonal. The value obtained for the size of the total moment is 0.000 μB per atom. As for the density of states at the Fermi level: 0.645 states/eV per atom.

The structure with the least stability is arrangement w.

Arrangement w

Entry from Alexandria: a geometry-optimized PtSe2Br structure (PBE).

Cell lengths 3.6814, 3.6814, 25.4475 Å; angles 90.00, 90.00, 120.00 degrees
Last column: nearest neighbours and their distance in Å.
Fractional positions:
Pt 0.0000 0.0000 0.0000  3 Se 2.55, 3 Br 2.67
Pt 0.3333 0.6667 0.6667  3 Se 2.55, 3 Br 2.67
Pt 0.6667 0.3333 0.3333  3 Se 2.55, 3 Br 2.67
Se 0.0000 0.0000 0.2782  3 Pt 2.55, 3 Se 2.78
Se 0.0000 0.0000 0.5412  3 Se 2.78
Se 0.3333 0.6667 0.2079  3 Se 2.78
Se 0.3333 0.6667 0.9449  3 Pt 2.55, 3 Se 2.78
Se 0.6667 0.3333 0.6116  3 Pt 2.55, 3 Se 2.78
Se 0.6667 0.3333 0.8745  3 Se 2.78
Br 0.0000 0.0000 0.7301  3 Pt 2.67
Br 0.3333 0.6667 0.3968  3 Pt 2.67
Br 0.6667 0.3333 0.0635  3 Pt 2.67

Computed properties:
Its crystal system is trigonal. The value obtained for the size of the total moment is 0.000 μB per atom. As for the density of states at the Fermi level: 0.721 states/eV per atom.

Arrangement x

Entry from Alexandria: a geometry-optimized PtSe2Br structure (PBE).

Cell lengths 3.9036, 3.9036, 23.4878 Å; angles 90.00, 90.00, 120.00 degrees
Last column: nearest neighbours and their distance in Å.
Fractional positions:
Pt 0.0000 0.0000 0.0000  6 Se 2.57
Pt 0.3333 0.6667 0.6667  6 Se 2.57
Pt 0.6667 0.3333 0.3333  6 Se 2.57
Se 0.0000 0.0000 0.3859  3 Pt 2.57, 1 Br 2.68
Se 0.0000 0.0000 0.6141  3 Pt 2.57, 1 Br 2.68
Se 0.3333 0.6667 0.0525  3 Pt 2.57, 1 Br 2.68
Se 0.3333 0.6667 0.2808  3 Pt 2.57, 1 Br 2.68
Se 0.6667 0.3333 0.7192  3 Pt 2.57, 1 Br 2.68
Se 0.6667 0.3333 0.9475  3 Pt 2.57, 1 Br 2.68
Br 0.0000 0.0000 0.5000  2 Se 2.68
Br 0.3333 0.6667 0.1667  2 Se 2.68
Br 0.6667 0.3333 0.8333  2 Se 2.68

Computed properties:
Its crystal system is trigonal. The value obtained for the size of the total moment is 0.000 μB per atom. As for the density of states at the Fermi level: 0.338 states/eV per atom.

Arrangement y

Entry from Alexandria: a geometry-optimized PtSe2Br structure (PBE).

Cell lengths 3.0886, 3.0886, 10.9357 Å; angles 90.00, 90.00, 90.00 degrees
Last column: nearest neighbours and their distance in Å.
Fractional positions:
Pt 0.0000 0.0000 0.0000  4 Se 2.50
Se 0.0000 0.0000 0.3817  4 Se 3.09
Se 0.5000 0.5000 0.1112  4 Pt 2.50
Br 0.5000 0.5000 0.7491  4 Br 3.09

Computed properties:
Its crystal system is tetragonal. The value obtained for the size of the total moment is 0.000 μB per atom. As for the density of states at the Fermi level: 0.726 states/eV per atom.

Arrangement z

Entry from Alexandria: a geometry-optimized PtSe2Br structure (PBE).

Cell lengths 4.7631, 3.7895, 5.4988 Å; angles 90.00, 106.33, 90.00 degrees
Last column: nearest neighbours and their distance in Å.
Fractional positions:
Pt 0.0000 0.0000 0.0000  4 Se 2.51, 2 Br 2.75
Se 0.3531 0.5000 0.1484  1 Se 2.43, 2 Pt 2.51
Se 0.6469 0.5000 0.8516  1 Se 2.43, 2 Pt 2.51
Br 0.0000 0.0000 0.5000  2 Pt 2.75

Computed properties:
Its crystal system is monoclinic. The value obtained for the size of the total moment is 0.000 μB per atom. As for the density of states at the Fermi level: 0.189 states/eV per atom.

The structure with the least stability is arrangement y.